No. 1
# W2SeCl

Crystalline W2SeCl at its relaxed geometry (GGA-PBE, the Alexandria database).

Its uncorrected formation energy is 927 meV per atom.

The space group is Immm (No. 71) and the conventional cell measures 2.883, 5.593 and 8.604 Å, with angles of 90.00, 90.00 and 90.00 degrees. The asymmetric unit holds W at (0.000, 0.000, 0.245), Se at (0.000, 0.500, 0.500) and Cl at (0.000, 0.500, 0.000).

=====

No. 2
# MgRePC2

Crystalline MgRePC2 at its relaxed geometry (GGA-PBE, the Alexandria database).

The energy of formation is 1.890 eV/atom.

The space group is P4/mmm (No. 123) and the conventional cell measures 3.717, 3.717 and 4.740 Å, with angles of 90.00, 90.00 and 90.00 degrees. The asymmetric unit holds Mg at (0.000, 0.000, 0.000), Re at (0.500, 0.500, 0.000), P at (0.500, 0.500, 0.500) and C at (0.000, 0.500, 0.500).

=====

No. 3
# TaZn2Co

Crystalline TaZn2Co at its relaxed geometry (GGA-PBE, the Alexandria database).

The energy of formation is 0.061 eV/atom.

The space group is C2/m (No. 12) and the conventional cell measures 10.273, 2.754 and 4.481 Å, with angles of 90.00, 115.39 and 90.00 degrees. The asymmetric unit holds Ta at (0.000, 0.000, 0.000), Zn at (0.226, 0.000, 0.727) and Co at (0.000, 0.500, 0.500).

=====

No. 4
# PmHoPa2N4

Crystalline PmHoPa2N4 at its relaxed geometry (GGA-PBE, the Alexandria database).

Its uncorrected formation energy is -1625 meV per atom.

The space group is P2/m (No. 10) and the conventional cell measures 6.082, 3.515 and 6.108 Å, with angles of 90.00, 109.55 and 90.00 degrees. The asymmetric unit holds Pm at (0.000, 0.000, 0.000), Ho at (0.000, 0.500, 0.500), Pa at (0.500, 0.000, 0.500), Pa at (0.500, 0.500, 0.000), N at (0.267, 0.000, 0.747) and N at (0.273, 0.500, 0.267).